No. 1
Density functional theory data (GGA-PBEsol) for a relaxed structure of TiBiSbTe2.

a = 5.2076 Å, b = 5.2076 Å, c = 5.3335 Å
α = 90.00°, β = 90.00°, γ = 90.00°
With the nearest neighbours (Å) after each atom.
Element x y z (fractional)
Ti: 0.0000 0.0000 0.0000  4 Te 2.60, 2 Sb 2.67
Bi: 0.5000 0.5000 0.5000  4 Sb 3.68, 8 Te 3.73
Sb: 0.0000 0.0000 0.5000  2 Ti 2.67
Te: 0.0000 0.5000 0.0000  2 Ti 2.60
Te: 0.5000 0.0000 0.0000  2 Ti 2.60

Results
The energy relative to the elements, uncorrected comes out at 0.08 eV per atom. The calculation puts the total energy at -4.760 eV per atom. The total moment is 0.0 μB/f.u.



No. 2
Density functional theory data (GGA-PBEsol) for a relaxed structure of Tl2BiSbTe4.

a = 7.7215 Å, b = 4.4555 Å, c = 8.0945 Å
α = 90.00°, β = 108.54°, γ = 90.00°
With the nearest neighbours (Å) after each atom.
Element x y z (fractional)
Tl: 0.0000 0.0000 0.0000  6 Te 3.34
Tl: 0.5000 0.5000 0.0000  6 Te 3.30
Bi: 0.0000 0.5000 0.5000  6 Te 3.13
Sb: 0.5000 0.0000 0.5000  6 Te 3.08
Te: 0.2478 0.0000 0.7282  1 Sb 3.08, 2 Bi 3.13, 3 Tl 3.30-3.34
Te: 0.2632 0.5000 0.2749  2 Sb 3.08, 1 Bi 3.13, 3 Tl 3.30-3.34
Te: 0.7368 0.5000 0.7251  2 Sb 3.08, 1 Bi 3.13, 3 Tl 3.30-3.34
Te: 0.7522 0.0000 0.2718  1 Sb 3.08, 2 Bi 3.13, 3 Tl 3.30-3.34

Results
The energy relative to the elements, uncorrected comes out at -0.24 eV per atom. The calculation puts the total energy at -3.764 eV per atom. The total moment is 0.0 μB/f.u.



No. 3
Density functional theory data (GGA-PBEsol) for a relaxed structure of ZnBiSbTe2.

a = 5.8093 Å, b = 5.8093 Å, c = 5.8515 Å
α = 90.00°, β = 90.00°, γ = 90.00°
With the nearest neighbours (Å) after each atom.
Element x y z (fractional)
Zn: 0.0000 0.0000 0.0000  4 Sb 4.11, 8 Te 4.12
Bi: 0.5000 0.5000 0.5000  4 Te 2.90, 2 Sb 2.93
Sb: 0.5000 0.5000 0.0000  2 Bi 2.93
Te: 0.0000 0.5000 0.5000  2 Bi 2.90
Te: 0.5000 0.0000 0.5000  2 Bi 2.90

Results
The energy relative to the elements, uncorrected comes out at 0.87 eV per atom. The calculation puts the total energy at -2.625 eV per atom. The total moment is 0.5 μB/f.u.